VASP calculation (PBE) on a geometry-optimized AcNiBi2 structure.

Cell: 5.212 5.212 5.212 Å, 69.41 69.41 69.41°
Sites, in units of the cell vectors:
Ac (0.000, 0.000, 0.000)
Ni (0.500, 0.500, 0.500)
Bi (0.282, 0.282, 0.282)
Bi (0.718, 0.718, 0.718)

Output
energy above the most stable polymorph in this dataset: 48 meV per atom

VASP calculation (PBE) on a geometry-optimized AcNi2Bi2 structure.

Cell: 4.750 4.750 10.375 Å, 90.00 90.00 90.00°
Sites, in units of the cell vectors:
Ac (0.250, 0.250, 0.233)
Ac (0.750, 0.750, 0.767)
Ni (0.250, 0.250, 0.623)
Ni (0.250, 0.750, 0.000)
Ni (0.750, 0.250, 0.000)
Ni (0.750, 0.750, 0.377)
Bi (0.250, 0.250, 0.876)
Bi (0.250, 0.750, 0.500)
Bi (0.750, 0.250, 0.500)
Bi (0.750, 0.750, 0.124)

VASP calculation (PBE) on a geometry-optimized AcNiBi3 structure.

Cell: 5.299 5.299 5.299 Å, 90.00 90.00 90.00°
Sites, in units of the cell vectors:
Ac (0.000, 0.000, 0.000)
Ni (0.500, 0.500, 0.500)
Bi (0.000, 0.500, 0.500)
Bi (0.500, 0.000, 0.500)
Bi (0.500, 0.500, 0.000)

Output
energy above the most stable polymorph in this dataset: 161 meV per atom

| no. | energy of formation (eV/f.u.) |
| --- | --- |
| 1 | -0.3 |
| 2 | -2.0 |
| 3 | -1.2 |